(1)
Computed, not measured: an optimized crystal structure of Ac3RuPt at the PBE level of DFT.

```
Ac3RuPt
1.0
4.372 0.000 0.899
2.038 7.611 1.167
0.231 -0.392 9.957
Ac Ru Pt
6 2 2
Direct
0.649 0.243 0.458
0.351 0.757 0.542
0.272 0.338 0.118
0.728 0.662 0.882
0.966 0.866 0.202
0.034 0.134 0.798
0.313 0.057 0.316
0.687 0.943 0.684
0.601 0.581 0.217
0.399 0.419 0.783
```

Computed properties:
**ΔH_f (0 K)**: -539.2 meV per atom
**Calculated total energy**: -6.07 eV/atom

(2)
Computed, not measured: an optimized crystal structure of Ac5Ru2Pt2 at the PBE level of DFT.

```
Ac5Ru2Pt2
1.0
7.640 0.000 2.773
0.000 8.083 0.000
1.141 0.000 8.766
Ac Ru Pt
10 4 4
Direct
0.000 0.000 0.000
0.500 0.500 0.000
0.463 0.165 0.731
0.806 0.835 0.731
0.306 0.665 0.731
0.963 0.335 0.731
0.537 0.835 0.269
0.194 0.165 0.269
0.694 0.335 0.269
0.037 0.665 0.269
0.125 0.377 0.000
0.875 0.623 0.000
0.375 0.877 0.000
0.625 0.123 0.000
0.204 0.000 0.593
0.704 0.500 0.593
0.796 0.000 0.407
0.296 0.500 0.407
```

Computed properties:
**ΔH_f (0 K)**: -561.9 meV per atom
**Calculated total energy**: -6.25 eV/atom

(3)
Computed, not measured: an optimized crystal structure of Ac8Ru3Pt at the PBE level of DFT.

```
Ac8Ru3Pt
1.0
-1.332 5.301 6.879
-6.540 -1.631 -5.626
2.975 -5.837 5.077
Ac Ru Pt
8 3 1
Direct
0.253 0.506 0.760
0.747 0.494 0.240
0.266 0.015 0.764
0.749 0.015 0.764
0.749 0.497 0.764
0.251 0.503 0.236
0.251 0.985 0.236
0.734 0.985 0.236
0.500 0.000 0.000
0.500 0.500 0.000
0.000 0.500 0.000
0.000 0.000 0.000
```

Computed properties:
**ΔH_f (0 K)**: -356.8 meV per atom
**Calculated total energy**: -5.92 eV/atom

(4)
Computed, not measured: an optimized crystal structure of Ac16Ru3Pt5 at the PBE level of DFT.

```
Ac16Ru3Pt5
1.0
8.735 0.076 0.039
4.329 7.587 0.039
-0.018 -0.010 14.057
Ac Ru Pt
16 3 5
Direct
0.324 0.827 0.402
0.510 0.510 0.662
0.675 0.675 0.902
0.996 0.996 0.669
0.996 0.996 0.171
0.827 0.324 0.402
0.517 0.981 0.660
0.981 0.517 0.660
0.165 0.165 0.906
0.838 0.838 0.400
0.020 0.498 0.164
0.498 0.020 0.164
0.339 0.339 0.399
0.153 0.675 0.903
0.490 0.490 0.162
0.675 0.153 0.903
0.833 0.833 0.781
0.168 0.666 0.283
0.666 0.168 0.283
0.335 0.834 0.786
0.664 0.664 0.524
0.834 0.335 0.786
0.166 0.166 0.287
0.332 0.332 0.024
```

Computed properties:
**ΔH_f (0 K)**: -583.5 meV per atom
**Calculated total energy**: -5.74 eV/atom